Record 1
Below is a relaxed structure of Mg9In2Ga, with properties calculated at the PBE level.

Properties
As for the electronic total energy: -1.990 eV/atom. As for the space-group type: P4/mmm, No. 123. Its formation energy is -0.0851 eV/atom.

a b c (Å): 4.452 4.452 13.292
angles (deg): 90.00 90.00 90.00
Fractional positions:
1 Mg 0.000 0.000 0.000
2 Mg 0.000 0.000 0.329
3 Mg 0.000 0.000 0.671
4 Mg 0.000 0.500 0.158
5 Mg 0.000 0.500 0.500
6 Mg 0.000 0.500 0.842
7 Mg 0.500 0.000 0.158
8 Mg 0.500 0.000 0.500
9 Mg 0.500 0.000 0.842
10 In 0.500 0.500 0.330
11 In 0.500 0.500 0.670
12 Ga 0.500 0.500 0.000

***

Record 2
Below is a relaxed structure of Tb2Cd2InPd5, with properties calculated at the PBE level.

Properties
As for the electronic total energy: -4.512 eV/atom. As for the space-group type: P4/mbm, No. 127. Its formation energy is -0.5331 eV/atom.

a b c (Å): 10.418 10.418 3.705
angles (deg): 90.00 90.00 90.00
Fractional positions:
1 Tb 0.164 0.336 0.000
2 Tb 0.336 0.836 0.000
3 Tb 0.664 0.164 0.000
4 Tb 0.836 0.664 0.000
5 Cd 0.135 0.635 0.000
6 Cd 0.365 0.135 0.000
7 Cd 0.635 0.865 0.000
8 Cd 0.865 0.365 0.000
9 In 0.000 0.000 0.000
10 In 0.500 0.500 0.000
11 Pd 0.000 0.500 0.500
12 Pd 0.027 0.798 0.500
13 Pd 0.202 0.027 0.500
14 Pd 0.298 0.527 0.500
15 Pd 0.473 0.298 0.500
16 Pd 0.500 0.000 0.500
17 Pd 0.527 0.702 0.500
18 Pd 0.702 0.473 0.500
19 Pd 0.798 0.973 0.500
20 Pd 0.973 0.202 0.500

***

Record 3
Below is a relaxed structure of Ti3Nb2Al3, with properties calculated at the PBE level.

Properties
As for the electronic total energy: -7.183 eV/atom. As for the space-group type: Immm, No. 71. Its formation energy is -0.3014 eV/atom.

a b c (Å): 8.883 8.883 8.883
angles (deg): 154.92 153.09 37.11
Fractional positions:
1 Ti 0.000 0.000 0.000
2 Ti 0.118 0.618 0.500
3 Ti 0.882 0.382 0.500
4 Nb 0.245 0.245 0.000
5 Nb 0.755 0.755 0.000
6 Al 0.376 0.876 0.500
7 Al 0.500 0.500 0.000
8 Al 0.624 0.124 0.500

***

Record 4
Below is a relaxed structure of AsPt2Br, with properties calculated at the PBE level.

Properties
For the energy above the most stable polymorph in this dataset, the calculation gives 0.657 eV/atom. As for the electronic total energy: -4.109 eV/atom. As for the space-group type: Pmmm, No. 47.

a b c (Å): 3.121 4.434 5.222
angles (deg): 90.00 90.00 90.00
Fractional positions:
1 As 0.000 0.000 0.000
2 Pt 0.000 0.500 0.500
3 Pt 0.500 0.500 0.000
4 Br 0.500 0.000 0.500